CeB4Mo | the Alexandria database | PBE | relaxed; uncorrected energy = -7.834 eV/atom; formation energy from the elements = -0.59 eV/atom
1.0
-0.763 -2.741 2.380
3.778 -3.657 -3.001
8.829 3.496 6.856
B Mo Ce
16 4 4
Direct
0.500 0.214 0.815 B
0.500 0.636 0.532 B
0.500 0.364 0.468 B
0.500 0.525 0.808 B
0.500 0.786 0.185 B
0.500 0.975 0.308 B
0.500 0.714 0.685 B
0.500 0.613 0.953 B
0.500 0.475 0.192 B
0.500 0.864 0.032 B
0.500 0.136 0.968 B
0.500 0.387 0.047 B
0.500 0.025 0.692 B
0.500 0.887 0.453 B
0.500 0.113 0.547 B
0.500 0.286 0.315 B
0.000 0.630 0.085 Mo
0.000 0.370 0.915 Mo
0.000 0.870 0.585 Mo
0.000 0.130 0.415 Mo
0.000 0.375 0.651 Ce
0.000 0.125 0.151 Ce
0.000 0.875 0.849 Ce
0.000 0.625 0.349 Ce